# Nd4CoSBr2 PBE-GGA optimized geometry
# Calculated volume (Å³/cell): 218
# E_form (uncorrected) (eV per formula unit): -9.34
# Density of states at the Fermi level (states/eV per atom): 0.57
# SG: P2/m, No. 10
# VASP energy (eV/cell): -42.986
data_Nd4CoSBr2
_cell_length_a 7.351
_cell_length_b 3.959
_cell_length_c 7.853
_cell_angle_alpha 90.00
_cell_angle_beta 107.26
_cell_angle_gamma 90.00
_space_group_name_H-M_alt 'P 1'
_space_group_IT_number 1
_space_group_name_Hall 'P 1'
loop_
_atom_site_label
_atom_site_type_symbol
_atom_site_fract_x
_atom_site_fract_y
_atom_site_fract_z
Nd1 Nd 0.209 0.000 0.195
Nd2 Nd 0.261 0.500 0.798
Nd3 Nd 0.739 0.500 0.202
Nd4 Nd 0.791 0.000 0.805
Co1 Co 0.000 0.500 0.000
S1 S 0.500 0.000 0.000
Br1 Br 0.000 0.000 0.500
Br2 Br 0.500 0.500 0.500